## i
# ZnAs2CBr (GGA-PBE, relaxed)
# Fermi-level density of states	5.54	states/eV per cell
# symmetry	P4/mmm (123)
# total magnetic moment	0.66	μB per formula unit
# crystal system	tetragonal
data_ZnAs2CBr
_chemical_formula_sum 'Zn1 As2 C1 Br1'
_symmetry_space_group_name_H-M 'P 1'
_symmetry_Int_Tables_number 1
_cell_length_a 4.869
_cell_length_b 4.869
_cell_length_c 5.095
_cell_angle_alpha 90.00
_cell_angle_beta 90.00
_cell_angle_gamma 90.00
loop_
_symmetry_equiv_pos_as_xyz
'x,y,z'
loop_
_atom_site_label
_atom_site_fract_x
_atom_site_fract_y
_atom_site_fract_z
C1 0.500 0.500 0.500
As1 0.000 0.500 0.000
As2 0.500 0.000 0.000
Zn1 0.000 0.000 0.000
Br1 0.000 0.000 0.500


## ii
# ZnAs2CBr (GGA-PBE, relaxed)
# Fermi-level density of states	3.89	states/eV per cell
# symmetry	P4/mmm (123)
# total magnetic moment	0.00	μB per formula unit
# crystal system	tetragonal
data_ZnAs2CBr
_chemical_formula_sum 'Zn1 As2 C1 Br1'
_symmetry_space_group_name_H-M 'P 1'
_symmetry_Int_Tables_number 1
_cell_length_a 4.400
_cell_length_b 4.400
_cell_length_c 4.777
_cell_angle_alpha 90.00
_cell_angle_beta 90.00
_cell_angle_gamma 90.00
loop_
_symmetry_equiv_pos_as_xyz
'x,y,z'
loop_
_atom_site_label
_atom_site_fract_x
_atom_site_fract_y
_atom_site_fract_z
C1 0.000 0.000 0.000
As1 0.000 0.500 0.000
As2 0.500 0.000 0.000
Zn1 0.500 0.500 0.500
Br1 0.000 0.000 0.500


Stability ranking, top entry: ii; the second entry is 692 meV/atom less favorable.


## i
# ZrAsCBr2 (GGA-PBE, relaxed)
# Fermi-level density of states	5.69	states/eV per cell
# symmetry	P4/mmm (123)
# total magnetic moment	1.05	μB per formula unit
# crystal system	tetragonal
data_ZrAsCBr2
_chemical_formula_sum 'Zr1 As1 C1 Br2'
_symmetry_space_group_name_H-M 'P 1'
_symmetry_Int_Tables_number 1
_cell_length_a 5.265
_cell_length_b 5.265
_cell_length_c 5.378
_cell_angle_alpha 90.00
_cell_angle_beta 90.00
_cell_angle_gamma 90.00
loop_
_symmetry_equiv_pos_as_xyz
'x,y,z'
loop_
_atom_site_label
_atom_site_fract_x
_atom_site_fract_y
_atom_site_fract_z
C1 0.500 0.500 0.500
As1 0.000 0.000 0.500
Br1 0.000 0.500 0.000
Br2 0.500 0.000 0.000
Zr1 0.000 0.000 0.000


## ii
# ZrAsCBr2 (GGA-PBE, relaxed)
# Fermi-level density of states	2.76	states/eV per cell
# symmetry	P4/mmm (123)
# total magnetic moment	0.00	μB per formula unit
# crystal system	tetragonal
data_ZrAsCBr2
_chemical_formula_sum 'Zr1 As1 C1 Br2'
_symmetry_space_group_name_H-M 'P 1'
_symmetry_Int_Tables_number 1
_cell_length_a 4.533
_cell_length_b 4.533
_cell_length_c 4.542
_cell_angle_alpha 90.00
_cell_angle_beta 90.00
_cell_angle_gamma 90.00
loop_
_symmetry_equiv_pos_as_xyz
'x,y,z'
loop_
_atom_site_label
_atom_site_fract_x
_atom_site_fract_y
_atom_site_fract_z
C1 0.000 0.000 0.000
As1 0.000 0.000 0.500
Br1 0.000 0.500 0.000
Br2 0.500 0.000 0.000
Zr1 0.500 0.500 0.500


Stability ranking, top entry: ii; the second entry is 70 meV/atom less favorable.


## i
# ZrAs2CBr (GGA-PBE, relaxed)
# Fermi-level density of states	1.93	states/eV per cell
# symmetry	P4/mmm (123)
# total magnetic moment	0.00	μB per formula unit
# crystal system	tetragonal
data_ZrAs2CBr
_chemical_formula_sum 'Zr1 As2 C1 Br1'
_symmetry_space_group_name_H-M 'P 1'
_symmetry_Int_Tables_number 1
_cell_length_a 4.378
_cell_length_b 4.378
_cell_length_c 4.611
_cell_angle_alpha 90.00
_cell_angle_beta 90.00
_cell_angle_gamma 90.00
loop_
_symmetry_equiv_pos_as_xyz
'x,y,z'
loop_
_atom_site_label
_atom_site_fract_x
_atom_site_fract_y
_atom_site_fract_z
C1 0.000 0.000 0.000
As1 0.000 0.500 0.000
As2 0.500 0.000 0.000
Br1 0.000 0.000 0.500
Zr1 0.500 0.500 0.500


## ii
# ZrAs2CBr (GGA-PBE, relaxed)
# Fermi-level density of states	5.17	states/eV per cell
# symmetry	P4/mmm (123)
# total magnetic moment	1.08	μB per formula unit
# crystal system	tetragonal
data_ZrAs2CBr
_chemical_formula_sum 'Zr1 As2 C1 Br1'
_symmetry_space_group_name_H-M 'P 1'
_symmetry_Int_Tables_number 1
_cell_length_a 5.261
_cell_length_b 5.261
_cell_length_c 5.245
_cell_angle_alpha 90.00
_cell_angle_beta 90.00
_cell_angle_gamma 90.00
loop_
_symmetry_equiv_pos_as_xyz
'x,y,z'
loop_
_atom_site_label
_atom_site_fract_x
_atom_site_fract_y
_atom_site_fract_z
C1 0.500 0.500 0.500
As1 0.000 0.500 0.000
As2 0.500 0.000 0.000
Br1 0.000 0.000 0.500
Zr1 0.000 0.000 0.000


Stability ranking, top entry: i; the second entry is 595 meV/atom less favorable.


## i
# CaAsBr2 (GGA-PBE, relaxed)
# Fermi-level density of states	2.12	states/eV per cell
# symmetry	Pm (6)
# total magnetic moment	0.00	μB per formula unit
# crystal system	monoclinic
data_CaAsBr2
_chemical_formula_sum 'Ca1 As1 Br2'
_symmetry_space_group_name_H-M 'P 1'
_symmetry_Int_Tables_number 1
_cell_length_a 5.945
_cell_length_b 4.824
_cell_length_c 5.289
_cell_angle_alpha 61.48
_cell_angle_beta 90.00
_cell_angle_gamma 90.00
loop_
_symmetry_equiv_pos_as_xyz
'x,y,z'
loop_
_atom_site_label
_atom_site_fract_x
_atom_site_fract_y
_atom_site_fract_z
As1 0.500 0.624 0.615
Ca1 0.000 0.623 0.584
Br1 0.000 0.939 0.945
Br2 0.500 0.315 0.356


## ii
# CaAsBr2 (GGA-PBE, relaxed)
# Fermi-level density of states	1.92	states/eV per cell
# symmetry	Fmmm (69)
# total magnetic moment	0.00	μB per formula unit
# crystal system	orthorhombic
data_CaAsBr2
_chemical_formula_sum 'Ca1 As1 Br2'
_symmetry_space_group_name_H-M 'P 1'
_symmetry_Int_Tables_number 1
_cell_length_a 5.078
_cell_length_b 5.632
_cell_length_c 5.079
_cell_angle_alpha 65.82
_cell_angle_beta 84.74
_cell_angle_gamma 114.17
loop_
_symmetry_equiv_pos_as_xyz
'x,y,z'
loop_
_atom_site_label
_atom_site_fract_x
_atom_site_fract_y
_atom_site_fract_z
As1 0.500 0.500 0.000
Ca1 0.000 0.500 0.500
Br1 0.000 0.000 0.000
Br2 0.500 0.000 0.500


## iii
# CaAsBr2 (GGA-PBE, relaxed)
# Fermi-level density of states	2.96	states/eV per cell
# symmetry	P4/mmm (123)
# total magnetic moment	0.00	μB per formula unit
# crystal system	tetragonal
data_CaAsBr2
_chemical_formula_sum 'Ca1 As1 Br2'
_symmetry_space_group_name_H-M 'P 1'
_symmetry_Int_Tables_number 1
_cell_length_a 4.250
_cell_length_b 4.874
_cell_length_c 4.874
_cell_angle_alpha 90.00
_cell_angle_beta 90.00
_cell_angle_gamma 90.00
loop_
_symmetry_equiv_pos_as_xyz
'x,y,z'
loop_
_atom_site_label
_atom_site_fract_x
_atom_site_fract_y
_atom_site_fract_z
As1 0.500 0.000 0.500
Ca1 0.500 0.500 0.000
Br1 0.000 0.000 0.000
Br2 0.000 0.500 0.500


Stability ranking, top entry: i; the second entry is 81 meV/atom less favorable.


## i
# CaAsBr2 (GGA-PBE, relaxed)
# Fermi-level density of states	1.43	states/eV per cell
# symmetry	R-3m (166)
# total magnetic moment	1.27	μB per formula unit
# crystal system	trigonal
data_CaAsBr2
_chemical_formula_sum 'Ca1 As1 Br2'
_symmetry_space_group_name_H-M 'P 1'
_symmetry_Int_Tables_number 1
_cell_length_a 11.313
_cell_length_b 11.313
_cell_length_c 11.313
_cell_angle_alpha 19.99
_cell_angle_beta 19.99
_cell_angle_gamma 19.99
loop_
_symmetry_equiv_pos_as_xyz
'x,y,z'
loop_
_atom_site_label
_atom_site_fract_x
_atom_site_fract_y
_atom_site_fract_z
As1 0.750 0.750 0.750
Ca1 0.250 0.250 0.250
Br1 0.969 0.969 0.969
Br2 0.531 0.531 0.531


## ii
# CaAsBr2 (GGA-PBE, relaxed)
# Fermi-level density of states	0.73	states/eV per cell
# symmetry	P4/mmm (123)
# total magnetic moment	1.21	μB per formula unit
# crystal system	tetragonal
data_CaAsBr2
_chemical_formula_sum 'Ca1 As1 Br2'
_symmetry_space_group_name_H-M 'P 1'
_symmetry_Int_Tables_number 1
_cell_length_a 3.504
_cell_length_b 3.504
_cell_length_c 10.584
_cell_angle_alpha 90.00
_cell_angle_beta 90.00
_cell_angle_gamma 90.00
loop_
_symmetry_equiv_pos_as_xyz
'x,y,z'
loop_
_atom_site_label
_atom_site_fract_x
_atom_site_fract_y
_atom_site_fract_z
As1 0.500 0.500 0.750
Ca1 0.500 0.500 0.250
Br1 0.000 0.000 0.088
Br2 0.000 0.000 0.412


Stability ranking, top entry: i; the second entry is 37 meV/atom less favorable.


## i
# CaAsBr2 (GGA-PBE, relaxed)
# Fermi-level density of states	2.62	states/eV per cell
# symmetry	F-43m (216)
# total magnetic moment	2.86	μB per formula unit
# crystal system	cubic
data_CaAsBr2
_chemical_formula_sum 'Ca1 As1 Br2'
_symmetry_space_group_name_H-M 'P 1'
_symmetry_Int_Tables_number 1
_cell_length_a 5.396
_cell_length_b 5.396
_cell_length_c 5.396
_cell_angle_alpha 60.00
_cell_angle_beta 60.00
_cell_angle_gamma 60.00
loop_
_symmetry_equiv_pos_as_xyz
'x,y,z'
loop_
_atom_site_label
_atom_site_fract_x
_atom_site_fract_y
_atom_site_fract_z
As1 0.500 0.500 0.500
Ca1 0.750 0.750 0.750
Br1 0.000 0.000 0.000
Br2 0.250 0.250 0.250


## ii
# CaAsBr2 (GGA-PBE, relaxed)
# Fermi-level density of states	3.29	states/eV per cell
# symmetry	P4mm (99)
# total magnetic moment	0.00	μB per formula unit
# crystal system	tetragonal
data_CaAsBr2
_chemical_formula_sum 'Ca1 As1 Br2'
_symmetry_space_group_name_H-M 'P 1'
_symmetry_Int_Tables_number 1
_cell_length_a 4.160
_cell_length_b 4.160
_cell_length_c 7.211
_cell_angle_alpha 90.00
_cell_angle_beta 90.00
_cell_angle_gamma 90.00
loop_
_symmetry_equiv_pos_as_xyz
'x,y,z'
loop_
_atom_site_label
_atom_site_fract_x
_atom_site_fract_y
_atom_site_fract_z
As1 0.500 0.500 0.661
Ca1 0.000 0.000 0.573
Br1 0.000 0.000 0.952
Br2 0.500 0.500 0.314


Stability ranking, top entry: ii; the second entry is 321 meV/atom less favorable.


## i
# CaAsBr2 (GGA-PBE, relaxed)
# Fermi-level density of states	1.40	states/eV per cell
# symmetry	Fm-3m (225)
# total magnetic moment	2.89	μB per formula unit
# crystal system	cubic
data_CaAsBr2
_chemical_formula_sum 'Ca1 As1 Br2'
_symmetry_space_group_name_H-M 'P 1'
_symmetry_Int_Tables_number 1
_cell_length_a 5.379
_cell_length_b 5.379
_cell_length_c 5.379
_cell_angle_alpha 60.00
_cell_angle_beta 60.00
_cell_angle_gamma 60.00
loop_
_symmetry_equiv_pos_as_xyz
'x,y,z'
loop_
_atom_site_label
_atom_site_fract_x
_atom_site_fract_y
_atom_site_fract_z
As1 0.500 0.500 0.500
Ca1 0.000 0.000 0.000
Br1 0.250 0.250 0.250
Br2 0.750 0.750 0.750


## ii
# CaAsBr2 (GGA-PBE, relaxed)
# Fermi-level density of states	0.65	states/eV per cell
# symmetry	C2/m (12)
# total magnetic moment	0.00	μB per formula unit
# crystal system	monoclinic
data_CaAsBr2
_chemical_formula_sum 'Ca1 As1 Br2'
_symmetry_space_group_name_H-M 'P 1'
_symmetry_Int_Tables_number 1
_cell_length_a 7.577
_cell_length_b 7.577
_cell_length_c 5.216
_cell_angle_alpha 85.93
_cell_angle_beta 85.93
_cell_angle_gamma 27.54
loop_
_symmetry_equiv_pos_as_xyz
'x,y,z'
loop_
_atom_site_label
_atom_site_fract_x
_atom_site_fract_y
_atom_site_fract_z
As1 0.750 0.750 0.750
Ca1 0.250 0.250 0.250
Br1 0.894 0.894 0.036
Br2 0.606 0.606 0.464


## iii
# CaAsBr2 (GGA-PBE, relaxed)
# Fermi-level density of states	5.00	states/eV per cell
# symmetry	I-42d (122)
# total magnetic moment	0.91	μB per formula unit
# crystal system	tetragonal
data_CaAsBr2
_chemical_formula_sum 'Ca2 As2 Br4'
_symmetry_space_group_name_H-M 'P 1'
_symmetry_Int_Tables_number 1
_cell_length_a 8.160
_cell_length_b 8.160
_cell_length_c 6.713
_cell_angle_alpha 52.57
_cell_angle_beta 52.57
_cell_angle_gamma 90.00
loop_
_symmetry_equiv_pos_as_xyz
'x,y,z'
loop_
_atom_site_label
_atom_site_fract_x
_atom_site_fract_y
_atom_site_fract_z
As1 0.000 0.000 0.000
As2 0.750 0.250 0.500
Ca1 0.500 0.500 0.000
Ca2 0.250 0.750 0.500
Br1 0.609 0.125 0.250
Br2 0.141 0.625 0.250
Br3 0.375 0.391 0.750
Br4 0.875 0.859 0.750


Stability ranking, top entry: ii; the second entry is 343 meV/atom less favorable.


## i
# CaAsBr2 (GGA-PBE, relaxed)
# Fermi-level density of states	1.43	states/eV per cell
# symmetry	Cm (8)
# total magnetic moment	0.00	μB per formula unit
# crystal system	monoclinic
data_CaAsBr2
_chemical_formula_sum 'Ca1 As1 Br2'
_symmetry_space_group_name_H-M 'P 1'
_symmetry_Int_Tables_number 1
_cell_length_a 8.615
_cell_length_b 8.615
_cell_length_c 4.253
_cell_angle_alpha 60.37
_cell_angle_beta 60.37
_cell_angle_gamma 25.62
loop_
_symmetry_equiv_pos_as_xyz
'x,y,z'
loop_
_atom_site_label
_atom_site_fract_x
_atom_site_fract_y
_atom_site_fract_z
As1 0.769 0.769 0.838
Ca1 0.438 0.438 0.499
Br1 0.014 0.014 0.847
Br2 0.280 0.280 0.316


## ii
# CaAsBr2 (GGA-PBE, relaxed)
# Fermi-level density of states	1.45	states/eV per cell
# symmetry	Immm (71)
# total magnetic moment	0.00	μB per formula unit
# crystal system	orthorhombic
data_CaAsBr2
_chemical_formula_sum 'Ca1 As1 Br2'
_symmetry_space_group_name_H-M 'P 1'
_symmetry_Int_Tables_number 1
_cell_length_a 5.990
_cell_length_b 5.990
_cell_length_c 5.990
_cell_angle_alpha 145.14
_cell_angle_beta 117.03
_cell_angle_gamma 74.04
loop_
_symmetry_equiv_pos_as_xyz
'x,y,z'
loop_
_atom_site_label
_atom_site_fract_x
_atom_site_fract_y
_atom_site_fract_z
As1 0.250 0.750 0.500
Ca1 0.750 0.250 0.500
Br1 0.991 0.991 0.000
Br2 0.509 0.509 0.000


## iii
# CaAsBr2 (GGA-PBE, relaxed)
# Fermi-level density of states	1.35	states/eV per cell
# symmetry	Pmmm (47)
# total magnetic moment	0.00	μB per formula unit
# crystal system	orthorhombic
data_CaAsBr2
_chemical_formula_sum 'Ca1 As1 Br2'
_symmetry_space_group_name_H-M 'P 1'
_symmetry_Int_Tables_number 1
_cell_length_a 3.769
_cell_length_b 6.086
_cell_length_c 4.505
_cell_angle_alpha 90.00
_cell_angle_beta 90.00
_cell_angle_gamma 90.00
loop_
_symmetry_equiv_pos_as_xyz
'x,y,z'
loop_
_atom_site_label
_atom_site_fract_x
_atom_site_fract_y
_atom_site_fract_z
As1 0.000 0.500 0.500
Ca1 0.500 0.000 0.500
Br1 0.000 0.000 0.000
Br2 0.500 0.500 0.000


Stability ranking, top entry: i; the second entry is 110 meV/atom less favorable.